[1]
Hf12In5Bi2 after structural relaxation, computed with GGA-PBE.

Summary:
The value obtained for the energy is -141.54 eV per cell. For the calculated volume, the calculation gives 23.05 Å³ per atom. The formation energy comes out at -34 meV per atom. Its space group is C2/m.

```
data_Hf12In5Bi2
_chemical_formula_sum 'Hf12 In5 Bi2'
_cell_length_a 10.009
_cell_length_b 9.215
_cell_length_c 5.806
_cell_angle_alpha 100.94
_cell_angle_beta 90.00
_cell_angle_gamma 122.89
_symmetry_space_group_name_H-M 'P 1'
_symmetry_Int_Tables_number 1
loop_
_symmetry_equiv_pos_as_xyz
'x,y,z'
loop_
_atom_site_label
_atom_site_fract_x
_atom_site_fract_y
_atom_site_fract_z
_atom_site_occupancy
Hf1 0.447 0.894 0.706 1
Hf2 0.654 0.801 0.409 1
Hf3 0.346 0.199 0.591 1
Hf4 0.934 0.415 0.202 1
Hf5 0.852 0.704 0.073 1
Hf6 0.147 0.801 0.409 1
Hf7 0.148 0.296 0.927 1
Hf8 0.853 0.199 0.591 1
Hf9 0.481 0.415 0.202 1
Hf10 0.553 0.106 0.294 1
Hf11 0.066 0.585 0.798 1
Hf12 0.519 0.585 0.798 1
In1 0.000 0.000 0.500 1
In2 0.347 0.693 0.149 1
In3 0.653 0.307 0.851 1
In4 0.786 0.572 0.532 1
In5 0.214 0.428 0.468 1
Bi1 0.778 0.000 0.000 1
Bi2 0.222 0.000 0.000 1
```

[2]
HfInBi after structural relaxation, computed with GGA-PBE.

Summary:
The value obtained for the energy is -15.90 eV per cell. For the calculated volume, the calculation gives 25.42 Å³ per atom. The value obtained for the energy relative to the lowest polymorph listed for this composition is 277 meV/atom. The formation energy comes out at 226 meV per atom. Its space group is P3m1.

```
data_HfInBi
_chemical_formula_sum 'Hf1 In1 Bi1'
_cell_length_a 3.151
_cell_length_b 5.286
_cell_length_c 5.286
_cell_angle_alpha 120.00
_cell_angle_beta 90.00
_cell_angle_gamma 90.00
_symmetry_space_group_name_H-M 'P 1'
_symmetry_Int_Tables_number 1
loop_
_symmetry_equiv_pos_as_xyz
'x,y,z'
loop_
_atom_site_label
_atom_site_fract_x
_atom_site_fract_y
_atom_site_fract_z
_atom_site_occupancy
Bi1 0.708 0.667 0.333 1
Hf1 0.313 0.333 0.667 1
In1 0.978 0.000 0.000 1
```

[3]
HfInBi2 after structural relaxation, computed with GGA-PBE.

Summary:
The value obtained for the energy is -20.53 eV per cell. For the calculated volume, the calculation gives 29.40 Å³ per atom. The formation energy comes out at -18 meV per atom. Its space group is R-3m.

```
data_HfInBi2
_chemical_formula_sum 'Hf1 In1 Bi2'
_cell_length_a 3.394
_cell_length_b 3.394
_cell_length_c 11.953
_cell_angle_alpha 81.84
_cell_angle_beta 81.84
_cell_angle_gamma 60.00
_symmetry_space_group_name_H-M 'P 1'
_symmetry_Int_Tables_number 1
loop_
_symmetry_equiv_pos_as_xyz
'x,y,z'
loop_
_atom_site_label
_atom_site_fract_x
_atom_site_fract_y
_atom_site_fract_z
_atom_site_occupancy
Bi1 0.097 0.097 0.709 1
Bi2 0.903 0.903 0.291 1
In1 0.000 0.000 0.000 1
Hf1 0.500 0.500 0.500 1
```

[4]
Hf4InBi2 after structural relaxation, computed with GGA-PBE.

Summary:
The value obtained for the energy is -101.22 eV per cell. For the calculated volume, the calculation gives 23.79 Å³ per atom. The formation energy comes out at -42 meV per atom. Its space group is I-42d.

```
data_Hf4InBi2
_chemical_formula_sum 'Hf8 In2 Bi4'
_cell_length_a 7.564
_cell_length_b 7.564
_cell_length_c 7.563
_cell_angle_alpha 109.61
_cell_angle_beta 109.61
_cell_angle_gamma 109.20
_symmetry_space_group_name_H-M 'P 1'
_symmetry_Int_Tables_number 1
loop_
_symmetry_equiv_pos_as_xyz
'x,y,z'
loop_
_atom_site_label
_atom_site_fract_x
_atom_site_fract_y
_atom_site_fract_z
_atom_site_occupancy
Hf1 0.882 0.634 0.597 1
Hf2 0.883 0.631 0.097 1
Hf3 0.369 0.466 0.252 1
Hf4 0.715 0.118 0.752 1
Hf5 0.037 0.285 0.403 1
Hf6 0.534 0.786 0.903 1
Hf7 0.366 0.963 0.248 1
Hf8 0.214 0.117 0.748 1
In1 0.250 0.750 0.500 1
In2 0.000 0.000 0.000 1
Bi1 0.504 0.375 0.629 1
Bi2 0.125 0.496 0.871 1
Bi3 0.625 0.253 0.129 1
Bi4 0.746 0.875 0.371 1
```

[5]
Hf2InBi after structural relaxation, computed with GGA-PBE.

Summary:
The value obtained for the energy is -25.99 eV per cell. For the calculated volume, the calculation gives 25.46 Å³ per atom. The value obtained for the energy relative to the lowest polymorph listed for this composition is 124 meV/atom. The formation energy comes out at 134 meV per atom. Its space group is R-3m.

```
data_Hf2InBi
_chemical_formula_sum 'Hf2 In1 Bi1'
_cell_length_a 4.108
_cell_length_b 4.108
_cell_length_c 7.360
_cell_angle_alpha 73.80
_cell_angle_beta 73.80
_cell_angle_gamma 60.00
_symmetry_space_group_name_H-M 'P 1'
_symmetry_Int_Tables_number 1
loop_
_symmetry_equiv_pos_as_xyz
'x,y,z'
loop_
_atom_site_label
_atom_site_fract_x
_atom_site_fract_y
_atom_site_fract_z
_atom_site_occupancy
Hf1 0.255 0.255 0.235 1
Hf2 0.745 0.745 0.765 1
In1 0.000 0.000 0.000 1
Bi1 0.500 0.500 0.500 1
```

[6]
Hf2InBi after structural relaxation, computed with GGA-PBE.

Summary:
The value obtained for the energy is -45.55 eV per cell. For the calculated volume, the calculation gives 34.99 Å³ per atom. The value obtained for the energy relative to the lowest polymorph listed for this composition is 928 meV/atom. The formation energy comes out at 938 meV per atom. Its space group is I-42d.

```
data_Hf2InBi
_chemical_formula_sum 'Hf4 In2 Bi2'
_cell_length_a 6.165
_cell_length_b 6.165
_cell_length_c 8.560
_cell_angle_alpha 68.89
_cell_angle_beta 68.89
_cell_angle_gamma 90.00
_symmetry_space_group_name_H-M 'P 1'
_symmetry_Int_Tables_number 1
loop_
_symmetry_equiv_pos_as_xyz
'x,y,z'
loop_
_atom_site_label
_atom_site_fract_x
_atom_site_fract_y
_atom_site_fract_z
_atom_site_occupancy
Bi1 0.000 0.000 0.000 1
Bi2 0.750 0.250 0.500 1
Hf1 0.145 0.625 0.250 1
Hf2 0.605 0.125 0.250 1
Hf3 0.875 0.855 0.750 1
Hf4 0.375 0.395 0.750 1
In1 0.500 0.500 0.000 1
In2 0.250 0.750 0.500 1
```

[7]
HfInBi after structural relaxation, computed with GGA-PBE.

Summary:
The value obtained for the energy is -33.45 eV per cell. For the calculated volume, the calculation gives 25.12 Å³ per atom. The value obtained for the energy relative to the lowest polymorph listed for this composition is 0 meV/atom. The formation energy comes out at -51 meV per atom. Its space group is P4/nmm.

```
data_HfInBi
_chemical_formula_sum 'Hf2 In2 Bi2'
_cell_length_a 4.140
_cell_length_b 4.140
_cell_length_c 8.794
_cell_angle_alpha 90.00
_cell_angle_beta 90.00
_cell_angle_gamma 90.00
_symmetry_space_group_name_H-M 'P 1'
_symmetry_Int_Tables_number 1
loop_
_symmetry_equiv_pos_as_xyz
'x,y,z'
loop_
_atom_site_label
_atom_site_fract_x
_atom_site_fract_y
_atom_site_fract_z
_atom_site_occupancy
Bi1 0.500 0.000 0.634 1
Bi2 0.000 0.500 0.366 1
In1 0.500 0.500 0.000 1
In2 0.000 0.000 0.000 1
Hf1 0.000 0.500 0.729 1
Hf2 0.500 0.000 0.271 1
```

[8]
Hf2InBi2 after structural relaxation, computed with GGA-PBE.

Summary:
The value obtained for the energy is -61.27 eV per cell. For the calculated volume, the calculation gives 25.47 Å³ per atom. The value obtained for the energy relative to the lowest polymorph listed for this composition is 0 meV/atom. The formation energy comes out at -46 meV per atom. Its space group is P4/mbm.

```
data_Hf2InBi2
_chemical_formula_sum 'Hf4 In2 Bi4'
_cell_length_a 7.984
_cell_length_b 7.984
_cell_length_c 3.996
_cell_angle_alpha 90.00
_cell_angle_beta 90.00
_cell_angle_gamma 90.00
_symmetry_space_group_name_H-M 'P 1'
_symmetry_Int_Tables_number 1
loop_
_symmetry_equiv_pos_as_xyz
'x,y,z'
loop_
_atom_site_label
_atom_site_fract_x
_atom_site_fract_y
_atom_site_fract_z
_atom_site_occupancy
Bi1 0.156 0.656 0.500 1
Bi2 0.844 0.344 0.500 1
Bi3 0.656 0.844 0.500 1
Bi4 0.344 0.156 0.500 1
Hf1 0.358 0.858 0.000 1
Hf2 0.642 0.142 0.000 1
Hf3 0.142 0.358 0.000 1
Hf4 0.858 0.642 0.000 1
In1 0.500 0.500 0.000 1
In2 0.000 0.000 0.000 1
```

[9]
Hf6In3Bi after structural relaxation, computed with GGA-PBE.

Summary:
The value obtained for the energy is -142.59 eV per cell. For the calculated volume, the calculation gives 23.72 Å³ per atom. The formation energy comes out at 52 meV per atom. Its space group is Cmc2_1.

```
data_Hf6In3Bi
_chemical_formula_sum 'Hf12 In6 Bi2'
_cell_length_a 7.671
_cell_length_b 8.443
_cell_length_c 8.443
_cell_angle_alpha 119.82
_cell_angle_beta 90.00
_cell_angle_gamma 90.00
_symmetry_space_group_name_H-M 'P 1'
_symmetry_Int_Tables_number 1
loop_
_symmetry_equiv_pos_as_xyz
'x,y,z'
loop_
_atom_site_label
_atom_site_fract_x
_atom_site_fract_y
_atom_site_fract_z
_atom_site_occupancy
In1 0.834 0.508 0.492 1
In2 0.334 0.492 0.508 1
In3 0.955 0.695 0.946 1
In4 0.455 0.305 0.054 1
In5 0.955 0.054 0.305 1
In6 0.455 0.946 0.695 1
Bi1 0.513 0.778 0.222 1
Bi2 0.013 0.222 0.778 1
Hf1 0.600 0.705 0.825 1
Hf2 0.132 0.698 0.302 1
Hf3 0.632 0.302 0.698 1
Hf4 0.100 0.825 0.705 1
Hf5 0.802 0.886 0.508 1
Hf6 0.292 0.949 0.051 1
Hf7 0.302 0.508 0.886 1
Hf8 0.100 0.295 0.175 1
Hf9 0.802 0.492 0.114 1
Hf10 0.792 0.051 0.949 1
Hf11 0.302 0.114 0.492 1
Hf12 0.600 0.175 0.295 1
```

[10]
Hf6In2Bi after structural relaxation, computed with GGA-PBE.

Summary:
The value obtained for the energy is -139.50 eV per cell. For the calculated volume, the calculation gives 22.60 Å³ per atom. The formation energy comes out at -75 meV per atom. Its space group is Pnnm.

```
data_Hf6In2Bi
_chemical_formula_sum 'Hf12 In4 Bi2'
_cell_length_a 5.146
_cell_length_b 8.554
_cell_length_c 9.241
_cell_angle_alpha 90.00
_cell_angle_beta 90.00
_cell_angle_gamma 90.00
_symmetry_space_group_name_H-M 'P 1'
_symmetry_Int_Tables_number 1
loop_
_symmetry_equiv_pos_as_xyz
'x,y,z'
loop_
_atom_site_label
_atom_site_fract_x
_atom_site_fract_y
_atom_site_fract_z
_atom_site_occupancy
Hf1 0.500 0.184 0.577 1
Hf2 0.000 0.316 0.077 1
Hf3 0.500 0.816 0.423 1
Hf4 0.500 0.831 0.085 1
Hf5 0.000 0.684 0.923 1
Hf6 0.000 0.669 0.585 1
Hf7 0.500 0.476 0.338 1
Hf8 0.000 0.331 0.415 1
Hf9 0.000 0.024 0.838 1
Hf10 0.500 0.169 0.915 1
Hf11 0.000 0.976 0.162 1
Hf12 0.500 0.524 0.662 1
In1 0.500 0.854 0.753 1
In2 0.500 0.146 0.247 1
In3 0.000 0.354 0.747 1
In4 0.000 0.646 0.253 1
Bi1 0.000 0.000 0.500 1
Bi2 0.500 0.500 0.000 1
```

[11]
HfInBi after structural relaxation, computed with GGA-PBE.

Summary:
The value obtained for the energy is -16.54 eV per cell. For the calculated volume, the calculation gives 26.96 Å³ per atom. The value obtained for the energy relative to the lowest polymorph listed for this composition is 62 meV/atom. The formation energy comes out at 10 meV per atom. Its space group is I4mm.

```
data_HfInBi
_chemical_formula_sum 'Hf1 In1 Bi1'
_cell_length_a 3.243
_cell_length_b 3.243
_cell_length_c 8.024
_cell_angle_alpha 101.66
_cell_angle_beta 101.66
_cell_angle_gamma 90.00
_symmetry_space_group_name_H-M 'P 1'
_symmetry_Int_Tables_number 1
loop_
_symmetry_equiv_pos_as_xyz
'x,y,z'
loop_
_atom_site_label
_atom_site_fract_x
_atom_site_fract_y
_atom_site_fract_z
_atom_site_occupancy
Bi1 0.022 0.022 0.043 1
Hf1 0.673 0.673 0.346 1
In1 0.306 0.306 0.611 1
```

[12]
HfInBi2 after structural relaxation, computed with GGA-PBE.

Summary:
The value obtained for the energy is -20.49 eV per cell. For the calculated volume, the calculation gives 26.81 Å³ per atom. The formation energy comes out at -8 meV per atom. Its space group is P4/mmm.

```
data_HfInBi2
_chemical_formula_sum 'Hf1 In1 Bi2'
_cell_length_a 4.008
_cell_length_b 4.008
_cell_length_c 6.676
_cell_angle_alpha 90.00
_cell_angle_beta 90.00
_cell_angle_gamma 90.00
_symmetry_space_group_name_H-M 'P 1'
_symmetry_Int_Tables_number 1
loop_
_symmetry_equiv_pos_as_xyz
'x,y,z'
loop_
_atom_site_label
_atom_site_fract_x
_atom_site_fract_y
_atom_site_fract_z
_atom_site_occupancy
Hf1 0.500 0.500 0.000 1
In1 0.500 0.500 0.500 1
Bi1 0.000 0.000 0.231 1
Bi2 0.000 0.000 0.769 1
```